1.
Density functional theory data (PBE) for Cs3In5Ga2 after structural relaxation.

Cell lengths 11.5275, 15.9077, 7.7192 Å; angles 90.00, 90.00, 90.00 degrees
Space group Ibam (No. 72)
Symmetry-distinct sites (fractional):
Cs  0.0000  0.0000  0.2500 (multiplicity 4)
Cs  0.2486  0.3759  0.0000 (multiplicity 8)
In  0.0000  0.2572  0.2500 (multiplicity 8)
In  0.0000  0.5000  0.2500 (multiplicity 4)
In  0.1368  0.3782  0.5000 (multiplicity 8)
Ga  0.1313  0.1707  0.0000 (multiplicity 8)

**Energy**: -90.6 eV/cell
**Energy relative to the elements**: -0.04 eV/atom
**Calculated volume**: 1415.5 Å³/cell

***

2.
Density functional theory data (PBE) for BMoAs2P after structural relaxation.

Cell lengths 4.2828, 4.2828, 4.3947 Å; angles 90.00, 90.00, 90.00 degrees
Space group P4/mmm (No. 123)
Symmetry-distinct sites (fractional):
B  0.0000  0.0000  0.0000 (multiplicity 1)
Mo  0.0000  0.0000  0.5000 (multiplicity 1)
As  0.0000  0.5000  0.0000 (multiplicity 2)
P  0.5000  0.5000  0.5000 (multiplicity 1)

**Energy**: -27.3 eV/cell
**Energy relative to the lowest polymorph listed for this composition**: 0 meV per atom
**Energy relative to the elements**: 0.97 eV/atom
**Calculated volume**: 80.6 Å³/cell

***

3.
Density functional theory data (PBE) for TmHf2Nb after structural relaxation.

Cell lengths 3.2123, 3.2123, 30.7456 Å; angles 90.00, 90.00, 120.00 degrees
Space group R3m (No. 160, hexagonal axes)
Symmetry-distinct sites (fractional):
Tm  0.0000  0.0000  0.0000 (multiplicity 3)
Hf  0.0000  0.0000  0.2433 (multiplicity 3)
Hf  0.0000  0.0000  0.4236 (multiplicity 3)
Nb  0.0000  0.0000  0.8335 (multiplicity 3)

**Energy**: -100.9 eV/cell
**Energy relative to the lowest polymorph listed for this composition**: 99 meV per atom
**Energy relative to the elements**: 0.21 eV/atom
**Calculated volume**: 274.8 Å³/cell

***

Repeat the second record exactly.
Density functional theory data (PBE) for BMoAs2P after structural relaxation.

Cell lengths 4.2828, 4.2828, 4.3947 Å; angles 90.00, 90.00, 90.00 degrees
Space group P4/mmm (No. 123)
Symmetry-distinct sites (fractional):
B  0.0000  0.0000  0.0000 (multiplicity 1)
Mo  0.0000  0.0000  0.5000 (multiplicity 1)
As  0.0000  0.5000  0.0000 (multiplicity 2)
P  0.5000  0.5000  0.5000 (multiplicity 1)

**Energy**: -27.3 eV/cell
**Energy relative to the lowest polymorph listed for this composition**: 0 meV per atom
**Energy relative to the elements**: 0.97 eV/atom
**Calculated volume**: 80.6 Å³/cell

***

- Which value of energy does entry 1 give?
  -90.6 eV/cell